The following is a PBE calculation of LiIBr4 after structural relaxation, from Alexandria via LeMat-Bulk.

Formation energy from raw total energies = -444 meV/atom
Energy above the most stable polymorph in this dataset = 69.5 meV/atom
Magnetization = 0.00 μB/f.u.
Uncorrected energy = -0.15705 Ry per atom

a = 10.7782 Å, b = 10.7782 Å, c = 10.8346 Å
α = 64.47°, β = 64.47°, γ = 64.64°
Closest atoms and distances in Å follow each position.
Atoms (fractional coordinates):
Li  0.7386  0.7386  0.3036  4 Br 2.51-2.63
Br  0.4564  0.7824  0.9688  1 I 2.65
Br  0.5309  0.1292  0.6957  1 Li 2.63, 1 I 2.72
Br  0.1195  0.1195  0.9248  3 Li 2.51-2.52
I  0.3105  0.3105  0.2314  3 Br 2.65-2.71
Br  0.1292  0.5309  0.6957  1 Li 2.63, 1 I 2.72
I  0.6895  0.6895  0.7686  3 Br 2.65-2.71
Li  0.1435  0.8565  0.0000  2 Br 2.52
Br  0.8708  0.4691  0.3043  1 Li 2.63, 1 I 2.72
Br  0.7824  0.4564  0.9688  1 I 2.65
Br  0.7547  0.3174  0.7141  1 I 2.72
Br  0.7971  0.7971  0.4809  1 Li 2.63, 1 I 2.71
Br  0.8805  0.8805  0.0752  3 Li 2.51-2.52
I  0.7100  0.2900  0.5000  4 Br 2.72
Br  0.3174  0.7547  0.7141  1 I 2.72
Br  0.4691  0.8708  0.3043  1 Li 2.63, 1 I 2.72
Br  0.2176  0.5436  0.0312  1 I 2.65
Br  0.5436  0.2176  0.0312  1 I 2.65
Li  0.2614  0.2614  0.6964  4 Br 2.51-2.63
Li  0.8565  0.1435  0.0000  2 Br 2.52
Br  0.2453  0.6826  0.2859  1 I 2.72
Br  0.2029  0.2029  0.5191  1 Li 2.63, 1 I 2.71
Br  0.6826  0.2453  0.2859  1 I 2.72
I  0.2900  0.7100  0.5000  4 Br 2.72

The following is a PBE calculation of Nd2ErScSb4 after structural relaxation, from Alexandria via LeMat-Bulk.

Formation energy from raw total energies = -1086 meV/atom
Magnetization = 0.00 μB/f.u.
Uncorrected energy = -0.41900 Ry per atom

a = 4.4040 Å, b = 7.6234 Å, c = 7.5965 Å
α = 109.55°, β = 90.00°, γ = 90.00°
Closest atoms and distances in Å follow each position.
Atoms (fractional coordinates):
Nd  0.0000  0.5000  0.5000  6 Sb 3.21
Sb  0.0000  0.2497  0.7655  1 Sc 3.01, 2 Er 3.06, 3 Nd 3.16-3.21
Sc  0.0000  0.0000  0.0000  6 Sb 3.01
Sb  0.5000  0.2381  0.2305  2 Sc 3.01, 1 Er 3.06, 3 Nd 3.16-3.21
Sb  0.5000  0.7619  0.7695  2 Sc 3.01, 1 Er 3.06, 3 Nd 3.16-3.21
Sb  0.0000  0.7503  0.2345  1 Sc 3.01, 2 Er 3.06, 3 Nd 3.16-3.21
Er  0.5000  0.5000  0.0000  6 Sb 3.06
Nd  0.5000  0.0000  0.5000  6 Sb 3.16

The following is a PBE calculation of BaBe2CuI after structural relaxation, from Alexandria via LeMat-Bulk.

Formation energy from raw total energies = 1163 meV/atom
Magnetization = 0.00 μB/f.u.
Uncorrected energy = -0.13535 Ry per atom

a = 4.8987 Å, b = 6.5639 Å, c = 4.8987 Å
α = 90.00°, β = 90.00°, γ = 90.00°
Closest atoms and distances in Å follow each position.
Atoms (fractional coordinates):
Cu  0.5000  0.5000  0.5000  4 Ba 3.46
Ba  0.0000  0.5000  0.0000  2 I 3.28, 4 Cu 3.46
I  0.0000  0.0000  0.0000  4 Be 2.45
Be  0.5000  0.0000  0.0000  2 I 2.45
Be  0.0000  0.0000  0.5000  2 I 2.45

The following is a PBE calculation of La2Pd2S after structural relaxation, from Alexandria via LeMat-Bulk.

Formation energy from raw total energies = -1050 meV/atom
Energy above the most stable polymorph in this dataset = 0.0 meV/atom
Magnetization = 0.00 μB/f.u.
Uncorrected energy = -0.43541 Ry per atom

a = 7.9687 Å, b = 7.9687 Å, c = 3.9958 Å
α = 90.00°, β = 90.00°, γ = 90.00°
Closest atoms and distances in Å follow each position.
Atoms (fractional coordinates):
La  0.3162  0.8162  0.0000  2 S 2.91, 6 Pd 2.99-3.17
Pd  0.1190  0.6190  0.5000  1 Pd 2.68, 2 La 2.99
La  0.1838  0.3162  0.0000  2 S 2.91, 6 Pd 2.99-3.17
Pd  0.8810  0.3810  0.5000  1 Pd 2.68, 2 La 2.99
La  0.8162  0.6838  0.0000  2 S 2.91, 6 Pd 2.99-3.17
La  0.6838  0.1838  0.0000  2 S 2.91, 6 Pd 2.99-3.17
S  0.0000  0.0000  0.0000  4 La 2.91
S  0.5000  0.5000  0.0000  4 La 2.91
Pd  0.3810  0.1190  0.5000  1 Pd 2.68, 2 La 2.99
Pd  0.6190  0.8810  0.5000  1 Pd 2.68, 2 La 2.99

The following is a PBE calculation of Li3MgGa5 after structural relaxation, from Alexandria via LeMat-Bulk.

Formation energy = -0.06 eV/atom
Magnetization = 0.00 μB/f.u.
Uncorrected energy = -0.18807 Ry per atom

a = 7.7060 Å, b = 7.7060 Å, c = 7.7702 Å
α = 119.73°, β = 119.73°, γ = 90.00°
Closest atoms and distances in Å follow each position.
Atoms (fractional coordinates):
Li  0.1017  0.3983  0.0000  1 Li 2.22, 2 Ga 2.47
Ga  0.5855  0.6608  0.7463  1 Li 2.47, 1 Mg 2.69
Ga  0.4145  0.3392  0.2537  1 Li 2.47, 1 Mg 2.69
Li  0.7500  0.7500  0.5000  10 Ga 2.77-3.07
Ga  0.0855  0.5855  0.7463  1 Li 2.47, 1 Mg 2.69
Ga  0.5000  0.5000  0.0000  2 Li 2.77, 8 Ga 3.09
Ga  0.0000  0.0000  0.0000  2 Li 2.77, 8 Ga 3.09
Mg  0.7500  0.2500  0.5000  4 Ga 2.69, 4 Li 2.98
Ga  0.3392  0.8392  0.2537  1 Li 2.47, 1 Mg 2.69
Mg  0.2500  0.7500  0.5000  4 Ga 2.69, 4 Li 2.98
Li  0.6017  0.1017  0.0000  1 Li 2.22, 2 Ga 2.47
Ga  0.6608  0.1608  0.7463  1 Li 2.47, 1 Mg 2.69
Ga  0.1608  0.0855  0.7463  1 Li 2.47, 1 Mg 2.69
Li  0.2500  0.2500  0.5000  10 Ga 2.77-3.07
Li  0.8983  0.6017  0.0000  1 Li 2.22, 2 Ga 2.47
Li  0.3983  0.8983  0.0000  1 Li 2.22, 2 Ga 2.47
Ga  0.9145  0.4145  0.2537  1 Li 2.47, 1 Mg 2.69
Ga  0.8392  0.9145  0.2537  1 Li 2.47, 1 Mg 2.69

The following is a PBE calculation of Nd9Sm2Mg after structural relaxation, from Alexandria via LeMat-Bulk.

Formation energy = 0.01 eV/atom
Magnetization = 0.00 μB/f.u.
Uncorrected energy = -0.32960 Ry per atom

a = 5.1298 Å, b = 5.1298 Å, c = 15.5086 Å
α = 90.00°, β = 90.00°, γ = 90.00°
Closest atoms and distances in Å follow each position.
Atoms (fractional coordinates):
Nd  0.5000  0.5000  0.6700  4 Sm 3.63, 8 Nd 3.64-3.68
Nd  0.5000  0.0000  0.1633  2 Mg 3.60, 8 Nd 3.60-3.64, 2 Sm 3.64
Mg  0.0000  0.0000  0.0000  12 Nd 3.60-3.63
Nd  0.5000  0.5000  0.0000  8 Nd 3.60, 4 Mg 3.63
Nd  0.5000  0.0000  0.8367  2 Mg 3.60, 8 Nd 3.60-3.64, 2 Sm 3.64
Nd  0.5000  0.5000  0.3300  4 Sm 3.63, 8 Nd 3.64-3.68
Sm  0.0000  0.0000  0.3302  12 Nd 3.63-3.68
Nd  0.0000  0.5000  0.1633  8 Nd 3.60-3.64, 2 Mg 3.60, 2 Sm 3.64
Nd  0.0000  0.5000  0.8367  8 Nd 3.60-3.64, 2 Mg 3.60, 2 Sm 3.64
Nd  0.5000  0.0000  0.5000  8 Nd 3.63-3.68, 4 Sm 3.68
Sm  0.0000  0.0000  0.6698  12 Nd 3.63-3.68
Nd  0.0000  0.5000  0.5000  8 Nd 3.63-3.68, 4 Sm 3.68

The following is a PBE calculation of Cr2Ni2S after structural relaxation, from Alexandria via LeMat-Bulk.

Formation energy from raw total energies = 390 meV/atom
Energy above the most stable polymorph in this dataset = 85.4 meV/atom
Magnetization = 0.00 μB/f.u.
Uncorrected energy = -0.48489 Ry per atom

a = 3.1546 Å, b = 3.1546 Å, c = 6.7464 Å
α = 76.48°, β = 76.48°, γ = 90.00°
Closest atoms and distances in Å follow each position.
Atoms (fractional coordinates):
S  0.0000  0.0000  0.0000  8 Ni 2.54
Cr  0.7500  0.2500  0.5000  4 Cr 2.23
Ni  0.4039  0.4039  0.1921  1 Ni 2.45, 4 Cr 2.52, 4 S 2.54
Cr  0.2500  0.7500  0.5000  4 Cr 2.23
Ni  0.5961  0.5961  0.8079  1 Ni 2.45, 4 Cr 2.52, 4 S 2.54

The following is a PBE calculation of CdAgF2 after structural relaxation, from Alexandria via LeMat-Bulk.

Formation energy from raw total energies = -1162 meV/atom
Energy above the most stable polymorph in this dataset = 150.1 meV/atom
Magnetization = 0.00 μB/f.u.
Uncorrected energy = -0.22341 Ry per atom

a = 4.3605 Å, b = 4.3605 Å, c = 4.3605 Å
α = 60.00°, β = 60.00°, γ = 60.00°
Closest atoms and distances in Å follow each position.
Atoms (fractional coordinates):
Cd  0.5000  0.5000  0.5000  8 F 2.67
Ag  0.0000  0.0000  0.0000  8 F 2.67
F  0.7500  0.7500  0.7500  4 Cd 2.67, 4 Ag 2.67
F  0.2500  0.2500  0.2500  4 Cd 2.67, 4 Ag 2.67

The following is a PBE calculation of Li2PrMg2Ag2 after structural relaxation, from Alexandria via LeMat-Bulk.

Formation energy = -0.19 eV/atom
Magnetization = 0.00 μB/f.u.
Uncorrected energy = -0.19743 Ry per atom

a = 4.8275 Å, b = 4.8395 Å, c = 8.1054 Å
α = 107.99°, β = 90.00°, γ = 119.92°
Closest atoms and distances in Å follow each position.
Atoms (fractional coordinates):
Mg  0.5725  0.1451  0.7214  3 Ag 2.83-2.84, 3 Li 3.04-3.06
Li  0.8518  0.7037  0.5602  1 Ag 2.60
Li  0.1482  0.2963  0.4398  1 Ag 2.60
Ag  0.7397  0.4794  0.2170  1 Li 2.60, 3 Mg 2.83-2.84
Pr  0.0000  0.0000  0.0000  6 Ag 3.23-3.26, 2 Li 3.33, 6 Mg 3.49-3.50
Ag  0.2603  0.5206  0.7830  1 Li 2.60, 3 Mg 2.83-2.84
Mg  0.4275  0.8549  0.2786  3 Ag 2.83-2.84, 3 Li 3.04-3.06

The following is a PBE calculation of Pm2Pr6Er3In after structural relaxation, from Alexandria via LeMat-Bulk.

Formation energy = -0.04 eV/atom
Magnetization = 0.00 μB/f.u.
Uncorrected energy = -0.33775 Ry per atom

a = 6.2454 Å, b = 6.2454 Å, c = 11.9295 Å
α = 95.02°, β = 95.02°, γ = 120.11°
Closest atoms and distances in Å follow each position.
Atoms (fractional coordinates):
Pr  0.9162  0.5902  0.7486  6 Pr 3.52-3.65, 3 Er 3.57-3.61, 1 In 3.59, 2 Pm 3.63
Er  0.5000  0.5000  0.5000  6 Pr 3.57-3.61, 6 Er 3.60
Pr  0.0838  0.4098  0.2514  6 Pr 3.52-3.65, 3 Er 3.57-3.61, 1 In 3.59, 2 Pm 3.63
Pm  0.6666  0.3334  0.0000  3 In 3.60-3.61, 3 Pm 3.60-3.61, 6 Pr 3.63
Pr  0.4098  0.0838  0.2514  6 Pr 3.52-3.65, 3 Er 3.57-3.61, 1 In 3.59, 2 Pm 3.63
Er  0.8328  0.1672  0.5000  6 Pr 3.57-3.61, 6 Er 3.60-3.62
In  0.0000  0.0000  0.0000  6 Pr 3.59, 6 Pm 3.60-3.61
Er  0.1672  0.8328  0.5000  6 Pr 3.57-3.61, 6 Er 3.60-3.62
Pm  0.3334  0.6666  0.0000  3 In 3.60-3.61, 3 Pm 3.60-3.61, 6 Pr 3.63
Pr  0.7583  0.7583  0.2519  6 Pr 3.52-3.65, 3 Er 3.57-3.61, 1 In 3.59, 2 Pm 3.63
Pr  0.5902  0.9162  0.7486  6 Pr 3.52-3.65, 3 Er 3.57-3.61, 1 In 3.59, 2 Pm 3.63
Pr  0.2417  0.2417  0.7481  6 Pr 3.52-3.65, 3 Er 3.57-3.61, 1 In 3.59, 2 Pm 3.63